1.
The following is a DFT calculation (PBE) of a relaxed Sm3MgN crystal.

Cell lengths 4.9879, 4.9879, 4.9879 Å; angles 90.00, 90.00, 90.00 degrees
Sites, in units of the cell vectors:
Mg 0.0000 0.0000 0.0000
N 0.5000 0.5000 0.5000
Sm 0.5000 0.5000 0.0000
Sm 0.5000 0.0000 0.5000
Sm 0.0000 0.5000 0.5000

Summary:
The size of the total moment is 0.000 μB/atom. For the uncorrected energy, the calculation gives -5.44 eV per atom.

***

2.
The following is a DFT calculation (PBE) of a relaxed TbYFe2Ge2C crystal.

Cell lengths 5.7127, 5.7127, 6.8441 Å; angles 125.87, 125.87, 40.74 degrees
Sites, in units of the cell vectors:
C 0.0000 0.0000 0.0001
Fe 0.1953 0.1953 0.0888
Fe 0.8046 0.8046 0.9112
Ge 0.8360 0.8360 0.2880
Ge 0.1639 0.1639 0.7119
Tb 0.4424 0.4424 0.7106
Y 0.5577 0.5577 0.2894

Summary:
The size of the total moment is 0.003 μB/atom. For the uncorrected energy, the calculation gives -7.21 eV per atom.

***

3.
The following is a DFT calculation (PBE) of a relaxed Na4Sn2IrPt crystal.

Cell lengths 4.7607, 4.7607, 6.7333 Å; angles 90.00, 90.00, 90.00 degrees
Sites, in units of the cell vectors:
Ir 0.0000 0.0000 0.0000
Na 0.5000 0.5000 0.0000
Na 0.5000 0.0000 0.2547
Na 0.0000 0.0000 0.5000
Na 0.0000 0.5000 0.7453
Pt 0.5000 0.5000 0.5000
Sn 0.0000 0.5000 0.2391
Sn 0.5000 0.0000 0.7609

Summary:
The size of the total moment is 0.000 μB/atom. For the uncorrected energy, the calculation gives -3.63 eV per atom.

***

4.
The following is a DFT calculation (PBE) of a relaxed HoGaNiPd crystal.

Cell lengths 4.2778, 4.2778, 8.8636 Å; angles 90.00, 90.00, 120.00 degrees
Sites, in units of the cell vectors:
Ga 0.0000 0.0000 0.0128
Ga 0.0000 0.0000 0.5128
Ho 0.3333 0.6667 0.2471
Ho 0.6667 0.3333 0.7471
Ni 0.6667 0.3333 0.0716
Ni 0.3333 0.6667 0.5716
Pd 0.6667 0.3333 0.4185
Pd 0.3333 0.6667 0.9185

Summary:
The size of the total moment is 0.001 μB/atom. For the uncorrected energy, the calculation gives -5.31 eV per atom.

***

5.
The following is a DFT calculation (PBE) of a relaxed TbMgZnAu crystal.

Cell lengths 4.8753, 4.8753, 4.8753 Å; angles 60.00, 60.00, 60.00 degrees
Sites, in units of the cell vectors:
Au 0.5000 0.5000 0.5000
Mg 0.2500 0.2500 0.2500
Tb 0.7500 0.7500 0.7500
Zn 0.0000 0.0000 0.0000

Summary:
The size of the total moment is 0.001 μB/atom. For the uncorrected energy, the calculation gives -3.25 eV per atom.

***

6.
The following is a DFT calculation (PBE) of a relaxed BaCuSbPt crystal.

Cell lengths 5.1696, 5.1696, 5.1696 Å; angles 60.00, 60.00, 60.00 degrees
Sites, in units of the cell vectors:
Ba 0.2500 0.2500 0.2500
Cu 0.7500 0.7500 0.7500
Pt 0.5000 0.5000 0.5000
Sb 0.0000 0.0000 0.0000

Summary:
The size of the total moment is 0.000 μB/atom. For the uncorrected energy, the calculation gives -3.84 eV per atom.

***

7.
The following is a DFT calculation (PBE) of a relaxed Al2Ni crystal.

Cell lengths 5.9582, 5.9582, 2.8079 Å; angles 90.00, 90.00, 90.00 degrees
Sites, in units of the cell vectors:
Al 0.2748 0.2748 0.0000
Al 0.7252 0.7252 0.0000
Al 0.7748 0.2252 0.5000
Al 0.2252 0.7748 0.5000
Ni 0.0000 0.0000 0.0000
Ni 0.5000 0.5000 0.5000

Summary:
The size of the total moment is 0.000 μB/atom. For the uncorrected energy, the calculation gives -4.53 eV per atom.

***

8.
The following is a DFT calculation (PBE) of a relaxed UCuTc2 crystal.

Cell lengths 4.1643, 4.1643, 3.6271 Å; angles 90.00, 90.00, 90.00 degrees
Sites, in units of the cell vectors:
Cu 0.0000 0.0000 0.5000
Tc 0.5000 0.0000 0.0000
Tc 0.0000 0.5000 0.0000
U 0.5000 0.5000 0.5000

Summary:
The size of the total moment is 0.000 μB/atom. For the uncorrected energy, the calculation gives -9.02 eV per atom.

***

9.
The following is a DFT calculation (PBE) of a relaxed Ho2ErBi3 crystal.

Cell lengths 7.6942, 7.6942, 7.6942 Å; angles 146.44, 131.82, 59.99 degrees
Sites, in units of the cell vectors:
Bi 0.6660 0.1660 0.5000
Bi 0.0000 0.5000 0.5000
Bi 0.3340 0.8340 0.5000
Er 0.5000 0.5000 0.0000
Ho 0.1669 0.1669 0.0000
Ho 0.8331 0.8331 0.0000

Summary:
The size of the total moment is 0.000 μB/atom. For the uncorrected energy, the calculation gives -5.16 eV per atom.

***

10.
The following is a DFT calculation (PBE) of a relaxed Nd4Te3P crystal.

Cell lengths 7.7151, 7.7151, 4.3519 Å; angles 90.00, 90.00, 108.72 degrees
Sites, in units of the cell vectors:
Nd 0.2183 0.2183 0.0000
Nd 0.7817 0.7817 0.0000
Nd 0.7707 0.2293 0.5000
Nd 0.2293 0.7707 0.5000
P 0.0000 0.0000 0.5000
Te 0.5000 0.0000 0.0000
Te 0.0000 0.5000 0.0000
Te 0.5000 0.5000 0.5000

Summary:
The size of the total moment is 0.000 μB/atom. For the uncorrected energy, the calculation gives -5.74 eV per atom.

***

11.
The following is a DFT calculation (PBE) of a relaxed ZrPb crystal.

Cell lengths 8.1386, 7.0555, 5.3105 Å; angles 90.00, 90.00, 102.88 degrees
Sites, in units of the cell vectors:
Pb 0.3260 0.3078 0.0000
Pb 0.9465 0.4941 0.0000
Pb 0.3149 0.8482 0.0000
Pb 0.9073 0.2073 0.5000
Pb 0.2757 0.5615 0.5000
Pb 0.8962 0.7477 0.5000
Zr 0.6487 0.1536 0.0000
Zr 0.6270 0.6647 0.0000
Zr 0.9830 0.9930 0.0000
Zr 0.2392 0.0625 0.5000
Zr 0.5952 0.3908 0.5000
Zr 0.5736 0.9019 0.5000

Summary:
The size of the total moment is 0.001 μB/atom. For the uncorrected energy, the calculation gives -6.14 eV per atom.

***

12.
The following is a DFT calculation (PBE) of a relaxed NaPaZn crystal.

Cell lengths 4.9307, 4.9307, 4.9307 Å; angles 60.00, 60.00, 60.00 degrees
Sites, in units of the cell vectors:
Na 0.2500 0.2500 0.2500
Pa 0.0000 0.0000 0.0000
Zn 0.7500 0.7500 0.7500

Summary:
The size of the total moment is 0.541 μB/atom. For the uncorrected energy, the calculation gives -2.74 eV per atom.